First-principles (PBE-GGA) data for YThIr2 after structural relaxation, as listed in Alexandria via LeMat-Bulk.

extended XYZ file:
```
4
Lattice="4.978 0.000 0.000 2.489 4.311 0.000 2.489 1.437 4.064" Properties=species:S:1:pos:R:3 pbc="T T T"
Ir 2.489 1.437 1.016
Y 4.978 2.874 2.032
Th 0.000 0.000 0.000
Ir 7.467 4.311 3.048
```

Computed properties:
energy of formation = -0.777 eV per atom